# 1
DFT (GGA-PBE) results for crystalline Tb6Pm2YHo3 at its relaxed geometry.

Calculated values
SG = No. 12
Calculated formation energy = 15.6 meV/atom

```
Tb6Pm2YHo3
1.0
3.091 -5.349 0.000
3.091 5.349 0.000
-2.048 0.000 11.650
Tb Pm Y Ho
6 2 1 3
Direct
0.085 0.418 0.753
0.248 0.248 0.247
0.418 0.085 0.753
0.582 0.915 0.247
0.752 0.752 0.753
0.915 0.582 0.247
0.333 0.667 0.500
0.667 0.333 0.500
0.000 0.000 0.500
0.166 0.834 0.000
0.500 0.500 0.000
0.834 0.166 0.000
```

***

# 2
DFT (GGA-PBE) results for crystalline LaAl2Co at its relaxed geometry.

Calculated values
SG = No. 225
Calculated formation energy = -29.4 meV/atom

```
LaAl2Co
1.0
0.000 3.350 3.350
3.350 0.000 3.350
3.350 3.350 0.000
La Al Co
1 2 1
Direct
0.000 0.000 0.000
0.250 0.250 0.250
0.750 0.750 0.750
0.500 0.500 0.500
```

***

# 3
DFT (GGA-PBE) results for crystalline CaNb3N at its relaxed geometry.

Calculated values
SG = No. 221
Raw formation energy = -66 meV/atom

```
CaNb3N
1.0
4.420 0.000 0.000
0.000 4.420 0.000
0.000 0.000 4.420
Ca Nb N
1 3 1
Direct
0.000 0.000 0.000
0.000 0.500 0.500
0.500 0.000 0.500
0.500 0.500 0.000
0.500 0.500 0.500
```

***

# 4
DFT (GGA-PBE) results for crystalline Tm4SbPb2 at its relaxed geometry.

Calculated values
SG = No. 122
Raw formation energy = -619 meV/atom

```
Tm4SbPb2
1.0
-4.602 4.602 4.618
4.602 -4.602 4.618
4.602 4.602 -4.618
Tm Sb Pb
8 2 4
Direct
0.126 0.019 0.748
0.128 0.522 0.752
0.272 0.378 0.252
0.478 0.231 0.607
0.622 0.874 0.893
0.624 0.872 0.393
0.769 0.376 0.248
0.981 0.728 0.107
0.250 0.750 0.500
0.500 0.500 0.000
0.000 0.125 0.375
0.375 0.000 0.125
0.750 0.625 0.625
0.875 0.250 0.875
```

***

> What is the formula in the first record?

Tb6Pm2YHo3

***

> What is the formula in the second record?

LaAl2Co

***

> What is the formula in the third record?

CaNb3N